[1]
CaTbTeS | PBE | relaxed

Properties
Total DFT energy (no corrections) in eV per atom: -5.060
E_form (uncorrected) in kJ/mol of formula units: -612
Volume in Å³/atom: 26.85
Crystal system: trigonal

Cell lengths 4.0593, 4.0593, 22.5782 Å; angles 90.00, 90.00, 120.00 degrees
With the nearest neighbours (Å) after each atom.
Space group R3m (No. 160, hexagonal axes)
Inequivalent atoms, fractional coordinates:
Ca  0.0000  0.0000  0.0000 (multiplicity 3)  3 S 2.98, 3 Te 3.11
Tb  0.0000  0.0000  0.1556 (multiplicity 3)  3 S 2.88, 3 Te 3.06
Te  0.0000  0.0000  0.5759 (multiplicity 3)  3 Tb 3.06, 3 Ca 3.11
S  0.0000  0.0000  0.7480 (multiplicity 3)  3 Tb 2.88, 3 Ca 2.98

=====

[2]
Th2Sn3Rh8 | PBE | relaxed

Properties
Calculated formation energy in meV/atom: -459
Total DFT energy (no corrections) in eV per atom: -7.048
Volume in Å³/atom: 19.20
Crystal system: monoclinic

Cell lengths 12.9051, 5.9098, 8.2386 Å; angles 90.00, 127.40, 90.00 degrees
With the nearest neighbours (Å) after each atom.
Space group C2/m (No. 12)
Inequivalent atoms, fractional coordinates:
Th  0.1467  0.0000  0.2657 (multiplicity 4)  1 Rh 2.59
Sn  0.0000  0.2445  0.5000 (multiplicity 4)  6 Rh 2.63-2.76, 1 Sn 2.89
Sn  0.0000  0.5000  0.0000 (multiplicity 2)  8 Rh 2.63-2.85
Rh  0.1179  0.5000  0.3952 (multiplicity 4)  1 Th 2.59, 3 Sn 2.63, 1 Rh 2.82
Rh  0.1241  0.2278  0.9147 (multiplicity 8)  2 Sn 2.65-2.76, 4 Rh 2.66-2.83
Rh  0.2216  0.0000  0.7303 (multiplicity 4)  3 Sn 2.70-2.85, 5 Rh 2.82-2.83

=====

[3]
Ac4Se5Cl | PBE | relaxed

Properties
Total DFT energy (no corrections) in eV per atom: -5.505
E_form (uncorrected) in kJ/mol of formula units: -1867
Volume in Å³/atom: 35.42
Crystal system: monoclinic

Cell lengths 20.3707, 4.5808, 8.3065 Å; angles 90.00, 113.96, 90.00 degrees
With the nearest neighbours (Å) after each atom.
Space group C2/m (No. 12)
Inequivalent atoms, fractional coordinates:
Ac  0.0001  0.0000  0.2406 (multiplicity 4)  4 Se 3.04-3.08, 2 Cl 3.15
Ac  0.2193  0.5000  0.7196 (multiplicity 4)  6 Se 3.11-3.15
Se  0.0000  0.5000  0.0000 (multiplicity 2)  4 Ac 3.04
Se  0.1652  0.0000  0.4361 (multiplicity 4)  4 Ac 3.08-3.15
Se  0.1651  0.0000  0.8952 (multiplicity 4)  4 Ac 3.08-3.15
Cl  0.0000  0.5000  0.5000 (multiplicity 2)  4 Ac 3.15

=====

[4]
KTmTl2Cl6 | PBE | relaxed

Properties
Total DFT energy (no corrections) in eV per atom: -3.887
E_form (uncorrected) in kJ/mol of formula units: -1687
Volume in Å³/atom: 34.00
Crystal system: trigonal

Cell lengths 7.7626, 7.7626, 19.5461 Å; angles 90.00, 90.00, 120.00 degrees
With the nearest neighbours (Å) after each atom.
Space group R3 (No. 146, hexagonal axes)
Inequivalent atoms, fractional coordinates:
K  0.0000  0.0000  0.0000 (multiplicity 3)  6 Cl 3.09-3.20
Tm  0.0000  0.0000  0.4931 (multiplicity 3)  6 Cl 2.61-2.63
Tl  0.0000  0.0000  0.2803 (multiplicity 3)  6 Cl 3.27-3.31
Tl  0.0000  0.0000  0.7863 (multiplicity 3)  6 Cl 3.20-3.32
Cl  0.0236  0.4192  0.2314 (multiplicity 9)  1 Tm 2.61
Cl  0.0872  0.7041  0.0765 (multiplicity 9)  1 Tm 2.63

=====

[5]
In2CBrCl | PBE | relaxed

Properties
Total DFT energy (no corrections) in eV per atom: -2.314
E_form (uncorrected) in kJ/mol of formula units: 642
Volume in Å³/atom: 40.44
Crystal system: tetragonal

Cell lengths 6.2198, 6.2198, 5.2270 Å; angles 90.00, 90.00, 90.00 degrees
With the nearest neighbours (Å) after each atom.
Space group P4/mmm (No. 123)
Inequivalent atoms, fractional coordinates:
In  0.0000  0.5000  0.0000 (multiplicity 2)  2 Br 3.11
C  0.0000  0.0000  0.5000 (multiplicity 1)  8 In 4.06, 4 Cl 4.40
Br  0.5000  0.5000  0.0000 (multiplicity 1)  2 Cl 2.61
Cl  0.5000  0.5000  0.5000 (multiplicity 1)  2 Br 2.61

=====

[6]
NaPt | PBE | relaxed

Properties
Calculated formation energy in meV/atom: 99
Total DFT energy (no corrections) in eV per atom: -3.580
Volume in Å³/atom: 29.22
Crystal system: tetragonal

Cell lengths 10.0499, 10.0499, 4.6294 Å; angles 90.00, 90.00, 90.00 degrees
With the nearest neighbours (Å) after each atom.
Space group I4/mmm (No. 139)
Inequivalent atoms, fractional coordinates:
Na  0.0000  0.2654  0.0000 (multiplicity 8)  2 Pt 2.83
Pt  0.2185  0.2185  0.5000 (multiplicity 8)  2 Pt 2.48

=====

[7]
Pm7Ag2Ir2 | PBE | relaxed

Properties
Calculated formation energy in meV/atom: -308
Total DFT energy (no corrections) in eV per atom: -5.461
Volume in Å³/atom: 29.98
Crystal system: orthorhombic

Cell lengths 8.1801, 11.1130, 7.2552 Å; angles 90.00, 90.00, 90.00 degrees
With the nearest neighbours (Å) after each atom.
Space group Cmmm (No. 65)
Inequivalent atoms, fractional coordinates:
Pm  0.0000  0.0000  0.0000 (multiplicity 2)  2 Ir 3.21
Pm  0.0000  0.5000  0.2472 (multiplicity 4)  2 Ir 2.96, 2 Ag 3.22
Pm  0.2500  0.2500  0.2547 (multiplicity 8)  2 Ir 2.79
Ag  0.1762  0.0000  0.5000 (multiplicity 4)  1 Ag 2.88, 2 Pm 3.22
Ir  0.0000  0.2885  0.0000 (multiplicity 4)  6 Pm 2.79-2.96

=====

[8]
Mg2HgAu8 | PBE | relaxed

Properties
Calculated formation energy in meV/atom: -249
Total DFT energy (no corrections) in eV per atom: -2.950
Volume in Å³/atom: 18.34
Crystal system: monoclinic

Cell lengths 15.0534, 4.1735, 6.6937 Å; angles 90.00, 106.38, 90.00 degrees
With the nearest neighbours (Å) after each atom.
Space group C2/m (No. 12)
Inequivalent atoms, fractional coordinates:
Mg  0.2223  0.0000  0.1536 (multiplicity 4)  10 Au 2.83-2.96
Hg  0.0000  0.5000  0.5000 (multiplicity 2)  12 Au 2.94-3.07
Au  0.0445  0.0000  0.2191 (multiplicity 4)  1 Mg 2.83, 8 Au 2.86-3.08, 2 Hg 3.01
Au  0.1006  0.5000  0.9575 (multiplicity 4)  3 Mg 2.84-2.96, 7 Au 2.90-3.01, 1 Hg 3.01
Au  0.1477  0.0000  0.7041 (multiplicity 4)  3 Mg 2.84-2.90, 6 Au 2.90-3.08, 2 Hg 3.07
Au  0.1806  0.5000  0.4114 (multiplicity 4)  3 Mg 2.87-2.89, 8 Au 2.90-3.00, 1 Hg 2.94

=====

The density results, record by record, are as follows: 5545, 10934, 6275, 4051, 2932, 6196, 8133, 15022 kg/m³.